No. 1
DFT (GGA-PBE) results for crystalline NaPdSe2 at its relaxed geometry.

Structure (POSCAR):
```
NaPdSe2
1.0
-1.390 -2.005 3.008
-2.271 -3.078 -0.608
4.281 -5.724 0.656
Se Pd Na
2 1 1
Direct
0.064 0.064 0.807
0.269 0.269 0.193
0.667 0.667 0.000
0.500 0.500 0.500
```

Properties
E_tot = -3.895 eV per atom
SG = R3m (160)
Raw formation energy = -0.524 eV/atom

***

No. 2
DFT (GGA-PBE) results for crystalline HoAlSe2 at its relaxed geometry.

Structure (POSCAR):
```
HoAlSe2
1.0
-3.358 1.633 0.265
-2.670 -0.794 -2.501
-4.706 -6.060 4.146
Se Al Ho
2 1 1
Direct
0.889 0.889 0.334
0.111 0.111 0.666
0.500 0.500 0.500
0.000 0.000 0.000
```

Properties
E_tot = -4.570 eV per atom
SG = R-3m (166)
Raw formation energy = -0.748 eV/atom

***

No. 3
DFT (GGA-PBE) results for crystalline Zn3CdSn at its relaxed geometry.

Structure (POSCAR):
```
Zn3CdSn
1.0
5.260 0.000 0.000
0.000 5.260 0.000
0.000 0.000 5.260
Sn Zn Cd
1 3 1
Direct
0.000 0.000 0.000
0.000 0.000 0.500
0.500 0.000 0.000
0.000 0.500 0.000
0.500 0.500 0.500
```

Properties
E_tot = -1.298 eV per atom
SG = Pm-3m (221)
Energy above the most stable polymorph in this dataset = 0 meV/atom
Energy of formation from the pure elements = 2.249 eV/f.u.

***

No. 4
DFT (GGA-PBE) results for crystalline SiTe2W at its relaxed geometry.

Structure (POSCAR):
```
SiTe2W
1.0
3.251 0.000 0.000
0.000 5.017 0.000
0.000 0.000 5.017
Si W Te
1 1 2
Direct
0.500 0.000 0.500
0.500 0.500 0.000
0.000 0.500 0.500
0.000 0.000 0.000
```

Properties
E_tot = -5.267 eV per atom
SG = P4/mmm (123)
Raw formation energy = 0.897 eV/atom

***

No. 5
DFT (GGA-PBE) results for crystalline KCd2In2Hg2 at its relaxed geometry.

Structure (POSCAR):
```
KCd2In2Hg2
1.0
-1.118 -4.743 -0.680
2.171 1.443 4.166
-10.010 2.136 1.558
Cd K In Hg
2 1 2 2
Direct
0.567 0.134 0.699
0.433 0.866 0.301
0.000 0.000 0.000
0.141 0.283 0.424
0.859 0.717 0.576
0.262 0.525 0.786
0.738 0.475 0.214
```

Properties
E_tot = -1.379 eV per atom
SG = C2/m (12)
Energy of formation from the pure elements = -0.646 eV/f.u.

***

No. 6
DFT (GGA-PBE) results for crystalline Pm5Nd3N8 at its relaxed geometry.

Structure (POSCAR):
```
Pm5Nd3N8
1.0
6.298 0.000 3.608
2.116 5.932 3.608
0.025 0.018 7.258
N Nd Pm
8 3 5
Direct
0.250 0.748 0.752
0.749 0.749 0.752
0.251 0.251 0.248
0.750 0.750 0.248
0.250 0.250 0.752
0.748 0.250 0.752
0.750 0.252 0.248
0.252 0.750 0.248
0.500 0.000 0.500
0.000 0.000 0.500
0.000 0.500 0.500
0.500 0.500 0.500
0.000 0.000 0.000
0.500 0.500 0.000
0.000 0.500 0.000
0.500 0.000 0.000
```

Properties
E_tot = -7.947 eV per atom
SG = R-3m (166)
Raw formation energy = -1.406 eV/atom

***

No. 7
DFT (GGA-PBE) results for crystalline NdTaTe2 at its relaxed geometry.

Structure (POSCAR):
```
NdTaTe2
1.0
3.644 0.000 0.000
1.822 3.156 0.000
1.822 1.052 10.168
Te Ta Nd
2 1 1
Direct
0.894 0.894 0.317
0.106 0.106 0.683
0.500 0.500 0.500
0.000 0.000 0.000
```

Properties
E_tot = -5.940 eV per atom
SG = R-3m (166)
Raw formation energy = -0.214 eV/atom

***

No. 8
DFT (GGA-PBE) results for crystalline Er4In3Hg at its relaxed geometry.

Structure (POSCAR):
```
Er4In3Hg
1.0
-0.202 3.656 0.681
-3.056 -0.552 2.056
8.475 -1.789 12.115
In Hg Er
3 1 4
Direct
0.500 0.500 0.247
0.500 0.500 0.753
0.500 0.500 0.500
0.500 0.500 0.000
0.000 0.000 0.121
0.000 0.000 0.374
0.000 0.000 0.879
0.000 0.000 0.626
```

Properties
E_tot = -3.795 eV per atom
SG = P4/mmm (123)
Energy above the most stable polymorph in this dataset = 0 meV/atom
Energy of formation from the pure elements = -3.593 eV/f.u.

***

No. 9
DFT (GGA-PBE) results for crystalline HgOs2Ru at its relaxed geometry.

Structure (POSCAR):
```
HgOs2Ru
1.0
-3.097 -0.664 -2.519
0.594 -3.880 0.292
-2.463 -0.146 3.066
Os Hg Ru
2 1 1
Direct
0.000 0.000 0.000
0.000 0.500 0.500
0.500 0.000 0.500
0.500 0.500 0.000
```

Properties
E_tot = -7.088 eV per atom
SG = P4/mmm (123)
Energy of formation from the pure elements = 3.687 eV/f.u.

***

No. 10
DFT (GGA-PBE) results for crystalline K2Zn2Rh at its relaxed geometry.

Structure (POSCAR):
```
K2Zn2Rh
1.0
6.906 0.000 0.000
0.000 6.906 0.000
0.000 0.000 5.646
K Zn Rh
4 4 2
Direct
0.830 0.330 0.500
0.170 0.670 0.500
0.330 0.170 0.500
0.670 0.830 0.500
0.689 0.189 0.000
0.811 0.689 0.000
0.189 0.311 0.000
0.311 0.811 0.000
0.500 0.500 0.000
0.000 0.000 0.000
```

Properties
E_tot = -2.283 eV per atom
SG = P4/mbm (127)
Energy of formation from the pure elements = 0.681 eV/f.u.

***

No. 11
DFT (GGA-PBE) results for crystalline AcCuBr5 at its relaxed geometry.

Structure (POSCAR):
```
AcCuBr5
1.0
6.959 -2.059 -0.251
0.255 7.253 -0.251
2.391 1.721 8.369
Br Cu Ac
10 2 2
Direct
0.967 0.309 0.877
0.746 0.563 0.531
0.033 0.691 0.123
0.691 0.033 0.623
0.099 0.901 0.750
0.309 0.967 0.377
0.901 0.099 0.250
0.563 0.746 0.031
0.254 0.437 0.469
0.437 0.254 0.969
0.000 0.000 0.000
0.000 0.000 0.500
0.393 0.607 0.750
0.607 0.393 0.250
```

Properties
E_tot = -3.568 eV per atom
SG = C2/c (15)
Raw formation energy = -1.201 eV/atom